No. 1
An optimized crystal structure of ErTlCdTe3. Source: OQMD via LeMat-Bulk, functional PBE-GGA.

Cell and atoms, written as POSCAR:
```
ErTlCdTe3
1.0
11.7162 0.0000 0.0000
0.0000 4.4645 0.0000
0.0000 0.0000 15.3287
Er Tl Cd Te
4 4 4 12
Direct
0.0199 0.2500 0.2450
0.4801 0.7500 0.7450
0.5199 0.2500 0.2550
0.9801 0.7500 0.7550
0.2190 0.7500 0.5104
0.2810 0.2500 0.0104
0.7190 0.7500 0.9896
0.7810 0.2500 0.4896
0.2363 0.2500 0.7157
0.2637 0.7500 0.2157
0.7363 0.2500 0.7843
0.7637 0.7500 0.2843
0.0305 0.2500 0.6194
0.0679 0.7500 0.1105
0.2319 0.7500 0.8324
0.2681 0.2500 0.3324
0.4321 0.2500 0.6105
0.4695 0.7500 0.1194
0.5305 0.2500 0.8806
0.5679 0.7500 0.3895
0.7319 0.7500 0.6676
0.7681 0.2500 0.1676
0.9321 0.2500 0.8895
0.9695 0.7500 0.3806
```

Output
The crystal system is orthorhombic. For the distance to the lowest polymorph of the same formula, the calculation gives 0.1 kJ per mole of atoms. The calculation puts the electronic total energy at -3.678 eV per atom. The space-group type is Pnma.

No. 2
An optimized crystal structure of Hf3AsPd. Source: OQMD via LeMat-Bulk, functional PBE-GGA.

Cell and atoms, written as POSCAR:
```
Hf3AsPd
1.0
1.8045 -5.8125 0.0000
1.8045 5.8125 0.0000
0.0000 0.0000 9.7500
Hf As Pd
6 2 2
Direct
0.0703 0.9297 0.7500
0.3473 0.6527 0.5763
0.3473 0.6527 0.9237
0.6527 0.3473 0.0763
0.6527 0.3473 0.4237
0.9297 0.0703 0.2500
0.0000 0.0000 0.0000
0.0000 0.0000 0.5000
0.2536 0.7464 0.2500
0.7464 0.2536 0.7500
```

Output
The crystal system is orthorhombic. The calculation puts the electronic total energy at -8.520 eV per atom. The space-group type is Cmcm.

No. 3
An optimized crystal structure of AcBMo. Source: OQMD via LeMat-Bulk, functional PBE-GGA.

Cell and atoms, written as POSCAR:
```
AcBMo
1.0
0.0000 3.1007 3.1007
3.1007 0.0000 3.1007
3.1007 3.1007 0.0000
Ac B Mo
1 1 1
Direct
0.0000 0.0000 0.0000
0.5000 0.5000 0.5000
0.2500 0.2500 0.2500
```

Output
The crystal system is cubic. For the distance to the lowest polymorph of the same formula, the calculation gives 35.1 kJ per mole of atoms. The calculation puts the electronic total energy at -5.916 eV per atom. The space-group type is F-43m.

No. 4
An optimized crystal structure of Cu4I5. Source: OQMD via LeMat-Bulk, functional PBE-GGA.

Cell and atoms, written as POSCAR:
```
Cu4I5
1.0
-4.7153 4.7153 2.9711
4.7153 -4.7153 2.9711
4.7153 4.7153 -2.9711
Cu I
4 5
Direct
0.0526 0.1547 0.6952
0.4595 0.3574 0.3048
0.6426 0.9474 0.1021
0.8453 0.5405 0.8979
0.0000 0.0000 0.0000
0.2012 0.6046 0.7926
0.3954 0.1880 0.5966
0.5914 0.7988 0.4034
0.8120 0.4086 0.2074
```

Output
The crystal system is tetragonal. The calculation puts the electronic total energy at -2.693 eV per atom. The space-group type is I-4.